Entry 1:
Below is a geometry-optimized Rb2Cd4BiPb3 structure, with properties calculated at the PBE level.

Output
N(E_F) (states/eV/f.u.): 3.7
Energy of formation (eV/atom): -0.1153
Raw total energy (eV/cell): -21.8

Structure (POSCAR):
```
Rb2Cd4BiPb3
1.0
5.0469 0.0000 0.0000
0.0000 5.0469 0.0000
0.0000 0.0000 13.1943
Rb Cd Bi Pb
2 4 1 3
Direct
0.0000 0.5000 0.2454 Rb
0.5000 0.0000 0.7546 Rb
0.0000 0.0000 0.0000 Cd
0.0000 0.5000 0.6454 Cd
0.5000 0.0000 0.3545 Cd
0.5000 0.5000 0.0000 Cd
0.0000 0.0000 0.5000 Bi
0.0000 0.5000 0.8699 Pb
0.5000 0.0000 0.1301 Pb
0.5000 0.5000 0.5000 Pb
```


Entry 2:
Below is a geometry-optimized RbCd2Bi2Pb structure, with properties calculated at the PBE level.

Output
N(E_F) (states/eV/f.u.): 1.7
Energy of formation (eV/atom): -0.1460
Raw total energy (eV/cell): -15.1

Structure (POSCAR):
```
RbCd2Bi2Pb
1.0
5.2702 0.0000 0.0000
-2.6351 4.5641 0.0000
0.0000 0.0000 8.7970
Rb Cd Bi Pb
1 2 2 1
Direct
0.0000 0.0000 0.0000 Rb
0.3333 0.6667 0.6591 Cd
0.6667 0.3333 0.3409 Cd
0.3333 0.6667 0.2849 Bi
0.6667 0.3333 0.7151 Bi
0.0000 0.0000 0.5000 Pb
```


Entry 3:
Below is a geometry-optimized RbCdBiPb2 structure, with properties calculated at the PBE level.

Output
N(E_F) (states/eV/f.u.): 2.2
Energy of formation (eV/atom): -0.1143
Raw total energy (eV/cell): -13.8

Structure (POSCAR):
```
RbCdBiPb2
1.0
-2.6001 2.7627 6.3622
2.6001 -2.7627 6.3622
2.6001 2.7627 -6.3622
Rb Cd Bi Pb
1 1 1 2
Direct
0.0000 0.0000 0.0000 Rb
0.3781 0.3781 0.0000 Cd
0.2487 0.7487 0.5000 Bi
0.6147 0.6147 0.0000 Pb
0.7587 0.2587 0.5000 Pb
```